# GaMoW2

A geometry-optimized GaMoW2 structure (PBE-GGA, the Open Quantum Materials Database).

a b c (Å): 6.3159 6.3159 6.3159
angles (deg): 90.00 90.00 90.00
Space group F-43m (No. 216)
Symmetry-distinct sites (fractional):
Ga (0.0000, 0.0000, 0.0000) [4 per cell]
Mo (0.2500, 0.2500, 0.2500) [4 per cell]
W (0.0000, 0.0000, 0.5000) [4 per cell]
W (0.2500, 0.2500, 0.7500) [4 per cell]

Total DFT energy (no corrections)   -9.750 eV per atom
Total magnetization   0.01 μB per cell

=====

# TlNiAuSe3

A geometry-optimized TlNiAuSe3 structure (PBE-GGA, the Open Quantum Materials Database).

a b c (Å): 12.9006 3.7997 11.4678
angles (deg): 90.00 90.00 90.00
Space group Pnma (No. 62)
Symmetry-distinct sites (fractional):
Tl (0.1203, 0.2500, 0.0123) [4 per cell]
Ni (0.0892, 0.7500, 0.6919) [4 per cell]
Au (0.1943, 0.7500, 0.2050) [4 per cell]
Se (0.0024, 0.2500, 0.7702) [4 per cell]
Se (0.1410, 0.2500, 0.5746) [4 per cell]
Se (0.2280, 0.7500, 0.8493) [4 per cell]

Total DFT energy (no corrections)   -3.700 eV per atom
Total magnetization   0.02 μB per cell

=====

# Nb4Cu2Pb

A geometry-optimized Nb4Cu2Pb structure (PBE-GGA, the Open Quantum Materials Database).

a b c (Å): 4.0500 4.0500 7.7042
angles (deg): 90.00 90.00 90.00
Space group P4/mmm (No. 123)
Symmetry-distinct sites (fractional):
Nb (0.0000, 0.5000, 0.2100) [4 per cell]
Cu (0.0000, 0.0000, 0.0000) [1 per cell]
Cu (0.5000, 0.5000, 0.5000) [1 per cell]
Pb (0.0000, 0.0000, 0.5000) [1 per cell]

Total DFT energy (no corrections)   -6.985 eV per atom
Total magnetization   0.00 μB per cell

=====

# NdAgGe2Pd

A geometry-optimized NdAgGe2Pd structure (PBE-GGA, the Open Quantum Materials Database).

a b c (Å): 4.2982 4.2982 10.7644
angles (deg): 90.00 90.00 90.00
Space group I-4m2 (No. 119)
Symmetry-distinct sites (fractional):
Nd (0.0000, 0.0000, 0.0000) [2 per cell]
Ag (0.0000, 0.5000, 0.7500) [2 per cell]
Ge (0.0000, 0.0000, 0.3856) [4 per cell]
Pd (0.0000, 0.5000, 0.2500) [2 per cell]

Total DFT energy (no corrections)   -5.027 eV per atom
Total magnetization   0.01 μB per cell

=====

# MgFeOs

A geometry-optimized MgFeOs structure (PBE-GGA, the Open Quantum Materials Database).

a b c (Å): 5.6579 5.6579 5.6579
angles (deg): 90.00 90.00 90.00
Space group F-43m (No. 216)
Symmetry-distinct sites (fractional):
Mg (0.0000, 0.0000, 0.0000) [4 per cell]
Fe (0.2500, 0.2500, 0.2500) [4 per cell]
Os (0.0000, 0.0000, 0.5000) [4 per cell]

Total DFT energy (no corrections)   -6.571 eV per atom
Total magnetization   0.01 μB per cell

=====

# NdZrFe2Ge2C

A geometry-optimized NdZrFe2Ge2C structure (PBE-GGA, the Open Quantum Materials Database).

a b c (Å): 10.6175 3.9057 6.8087
angles (deg): 90.00 128.07 90.00
Space group Cm (No. 8)
Symmetry-distinct sites (fractional):
Nd (0.0000, 0.0000, 0.0000) [2 per cell]
Zr (0.3848, 0.5000, 0.4246) [2 per cell]
Fe (0.1339, 0.5000, 0.7875) [2 per cell]
Fe (0.2423, 0.0000, 0.6188) [2 per cell]
Ge (0.1026, 0.5000, 0.4142) [2 per cell]
Ge (0.2798, 0.0000, 0.0083) [2 per cell]
C (0.4326, 0.0000, 0.6815) [2 per cell]

Total DFT energy (no corrections)   -7.421 eV per atom
Total magnetization   0.03 μB per cell

=====

What did the fourth record say?
# NdAgGe2Pd

A geometry-optimized NdAgGe2Pd structure (PBE-GGA, the Open Quantum Materials Database).

a b c (Å): 4.2982 4.2982 10.7644
angles (deg): 90.00 90.00 90.00
Space group I-4m2 (No. 119)
Symmetry-distinct sites (fractional):
Nd (0.0000, 0.0000, 0.0000) [2 per cell]
Ag (0.0000, 0.5000, 0.7500) [2 per cell]
Ge (0.0000, 0.0000, 0.3856) [4 per cell]
Pd (0.0000, 0.5000, 0.2500) [2 per cell]

Total DFT energy (no corrections)   -5.027 eV per atom
Total magnetization   0.01 μB per cell

=====

Among the records above, which one has the lowest total magnetization?
Nb4Cu2Pb